## YAgF4 (PBE)

Data for a relaxed YAgF4 crystal.

Relative energy among the computed polymorphs ... 0.000 eV per formula unit
Crystal system ... tetragonal

a b c (Å): 6.532 6.532 6.532
angles (deg): 109.91 109.91 108.61
Fractional coordinates of all 12 atoms:
1 F 0.290 0.590 0.301
2 F 0.758 0.960 0.797
3 F 0.340 0.540 0.801
4 F 0.290 0.989 0.699
5 F 0.739 0.540 0.199
6 F 0.163 0.960 0.203
7 F 0.710 0.008 0.297
8 F 0.710 0.413 0.703
9 Ag 0.008 0.508 0.500
10 Ag 0.258 0.258 0.000
11 Y 0.742 0.742 0.000
12 Y 0.492 0.992 0.500

---

## YAgF4 (PBE)

Data for a relaxed YAgF4 crystal.

Relative energy among the computed polymorphs ... 0.143 eV per formula unit
Crystal system ... orthorhombic

a b c (Å): 3.613 5.502 5.502
angles (deg): 92.79 90.00 90.00
Fractional coordinates of all 6 atoms:
1 F 0.000 0.784 0.784
2 F 0.500 0.668 0.332
3 F 0.500 0.332 0.668
4 F 0.000 0.216 0.216
5 Y 0.000 0.500 0.500
6 Ag 0.500 0.000 0.000

---

## Y2AgF2 (PBE)

Data for a relaxed Y2AgF2 crystal.

Crystal system ... tetragonal

a b c (Å): 3.671 3.671 7.278
angles (deg): 75.39 75.39 90.00
Fractional coordinates of all 5 atoms:
1 F 0.750 0.250 0.500
2 F 0.250 0.750 0.500
3 Y 0.365 0.365 0.269
4 Y 0.635 0.635 0.731
5 Ag 0.000 0.000 0.000

---

## YAg2F5 (PBE)

Data for a relaxed YAg2F5 crystal.

Crystal system ... orthorhombic

a b c (Å): 6.391 7.168 10.369
angles (deg): 90.00 90.00 90.00
Fractional coordinates of all 32 atoms:
1 F 0.850 0.462 0.918
2 F 0.150 0.962 0.082
3 F 0.181 0.250 0.799
4 F 0.850 0.038 0.918
5 F 0.922 0.750 0.485
6 F 0.681 0.750 0.701
7 F 0.862 0.250 0.175
8 F 0.078 0.250 0.515
9 F 0.350 0.962 0.582
10 F 0.650 0.038 0.418
11 F 0.138 0.750 0.825
12 F 0.362 0.750 0.325
13 F 0.422 0.250 0.015
14 F 0.350 0.538 0.582
15 F 0.819 0.750 0.201
16 F 0.150 0.538 0.082
17 F 0.319 0.250 0.299
18 F 0.650 0.462 0.418
19 F 0.638 0.250 0.675
20 F 0.578 0.750 0.985
21 Ag 0.967 0.497 0.671
22 Ag 0.467 0.997 0.829
23 Ag 0.533 0.003 0.171
24 Ag 0.967 0.003 0.671
25 Ag 0.033 0.997 0.329
26 Ag 0.033 0.503 0.329
27 Ag 0.533 0.497 0.171
28 Ag 0.467 0.503 0.829
29 Y 0.073 0.250 0.006
30 Y 0.427 0.250 0.506
31 Y 0.573 0.750 0.494
32 Y 0.927 0.750 0.994

---

## YAg3F7 (PBE)

Data for a relaxed YAg3F7 crystal.

Crystal system ... monoclinic

a b c (Å): 5.662 5.662 6.568
angles (deg): 66.95 66.95 87.26
Fractional coordinates of all 11 atoms:
1 F 0.129 0.653 0.258
2 F 0.653 0.129 0.258
3 F 0.833 0.833 0.783
4 F 0.190 0.190 0.099
5 F 0.631 0.631 0.306
6 F 0.318 0.898 0.760
7 F 0.898 0.318 0.760
8 Ag 0.502 0.502 0.994
9 Ag 0.775 0.241 0.499
10 Ag 0.241 0.775 0.499
11 Y 0.954 0.954 0.033

---

## Y2AgF (PBE)

Data for a relaxed Y2AgF crystal.

Relative energy among the computed polymorphs ... 1.646 eV per formula unit
Crystal system ... trigonal

a b c (Å): 3.294 3.294 9.807
angles (deg): 80.33 80.33 60.00
Fractional coordinates of all 4 atoms:
1 Y 0.898 0.898 0.307
2 Y 0.102 0.102 0.693
3 F 0.500 0.500 0.500
4 Ag 0.000 0.000 0.000

---

## Y2Ag5F12 (PBE)

Data for a relaxed Y2Ag5F12 crystal.

Crystal system ... monoclinic

a b c (Å): 6.953 6.476 8.908
angles (deg): 95.34 90.00 122.47
Fractional coordinates of all 19 atoms:
1 Ag 0.000 0.000 0.500
2 Ag 0.729 0.459 0.688
3 Ag 0.271 0.541 0.312
4 Ag 0.700 0.399 0.368
5 Ag 0.300 0.601 0.632
6 Y 0.247 0.000 0.000
7 Y 0.753 0.000 0.000
8 F 0.413 0.825 0.098
9 F 0.909 0.819 0.096
10 F 0.900 0.282 0.191
11 F 0.100 0.718 0.809
12 F 0.634 0.741 0.430
13 F 0.107 0.741 0.430
14 F 0.382 0.282 0.191
15 F 0.366 0.259 0.570
16 F 0.893 0.259 0.570
17 F 0.618 0.718 0.809
18 F 0.587 0.175 0.902
19 F 0.091 0.181 0.904

---

## Y2AgF (PBE)

Data for a relaxed Y2AgF crystal.

Relative energy among the computed polymorphs ... 0.000 eV per formula unit
Crystal system ... tetragonal

a b c (Å): 6.992 6.992 6.216
angles (deg): 55.77 55.77 90.00
Fractional coordinates of all 8 atoms:
1 Y 0.554 0.125 0.250
2 Y 0.375 0.446 0.750
3 Y 0.875 0.804 0.750
4 Y 0.196 0.625 0.250
5 Ag 0.000 0.000 0.000
6 Ag 0.750 0.250 0.500
7 F 0.250 0.750 0.500
8 F 0.500 0.500 0.000

---

## YAg7F12 (PBE)

Data for a relaxed YAg7F12 crystal.

Crystal system ... trigonal

a b c (Å): 6.749 7.843 7.843
angles (deg): 67.88 73.33 106.67
Fractional coordinates of all 20 atoms:
1 F 0.132 0.809 0.538
2 F 0.217 0.152 0.112
3 F 0.323 0.653 0.809
4 F 0.670 0.538 0.653
5 F 0.672 0.888 0.264
6 F 0.936 0.264 0.848
7 F 0.330 0.462 0.347
8 F 0.328 0.112 0.736
9 F 0.677 0.347 0.191
10 F 0.783 0.848 0.888
11 F 0.868 0.191 0.462
12 F 0.064 0.736 0.152
13 Ag 0.263 0.140 0.419
14 Ag 0.682 0.419 0.441
15 Ag 0.123 0.441 0.140
16 Ag 0.737 0.860 0.581
17 Ag 0.500 0.000 0.000
18 Ag 0.318 0.581 0.559
19 Ag 0.877 0.559 0.860
20 Y 0.000 0.000 0.000

---

## Y3AgF (PBE)

Data for a relaxed Y3AgF crystal.

Relative energy among the computed polymorphs ... 0.000 eV per formula unit
Crystal system ... cubic

a b c (Å): 4.848 4.848 4.848
angles (deg): 90.00 90.00 90.00
Fractional coordinates of all 5 atoms:
1 Ag 0.500 0.500 0.500
2 Y 0.500 0.000 0.000
3 Y 0.000 0.000 0.500
4 Y 0.000 0.500 0.000
5 F 0.000 0.000 0.000

---

## YAg2F6 (PBE)

Data for a relaxed YAg2F6 crystal.

Relative energy among the computed polymorphs ... 0.201 eV per formula unit
Crystal system ... monoclinic

a b c (Å): 4.031 6.487 6.589
angles (deg): 67.54 72.19 71.90
Fractional coordinates of all 9 atoms:
1 Ag 0.176 0.779 0.869
2 Ag 0.824 0.221 0.131
3 Y 0.000 0.500 0.500
4 F 0.796 0.579 0.828
5 F 0.204 0.421 0.172
6 F 0.387 0.688 0.538
7 F 0.613 0.312 0.462
8 F 0.976 0.839 0.209
9 F 0.024 0.161 0.791

---

## YAg3F6 (PBE)

Data for a relaxed YAg3F6 crystal.

Crystal system ... trigonal

a b c (Å): 7.327 7.327 7.327
angles (deg): 91.30 91.30 91.30
Fractional coordinates of all 20 atoms:
1 F 0.488 0.518 0.201
2 F 0.482 0.799 0.512
3 F 0.299 0.982 0.012
4 F 0.512 0.482 0.799
5 F 0.701 0.018 0.988
6 F 0.988 0.701 0.018
7 F 0.018 0.988 0.701
8 F 0.799 0.512 0.482
9 F 0.518 0.201 0.488
10 F 0.012 0.299 0.982
11 F 0.201 0.488 0.518
12 F 0.982 0.012 0.299
13 Ag 0.536 0.964 0.250
14 Ag 0.250 0.536 0.964
15 Ag 0.036 0.750 0.464
16 Ag 0.464 0.036 0.750
17 Ag 0.964 0.250 0.536
18 Ag 0.750 0.464 0.036
19 Y 0.500 0.500 0.500
20 Y 0.000 0.000 0.000

---

Calculated DFT total energy, -69.76, -34.74, -30.66, -166.85, -51.61, -20.84, -92.51, -44.98, -80.57, -28.48, -44.79, -96.16 eV/cell (same order as the records).
Calculated E_form (uncorrected), -3.01, -2.99, -2.23, -2.52, -2.14, -0.80, -2.26, -1.21, -1.58, -0.87, -2.38, -2.18 eV per atom (same order as the records).